Record 1
Compound: TmPuAs
Source: Alexandria
Functional: PBE
Structure: optimized geometry

abc: 16.607 4.075 4.077
angles: 90.00 90.00 90.00
Fractional coordinates of all 12 atoms:
Tm 0.179 0.250 0.249
Tm 0.321 0.750 0.749
Tm 0.679 0.250 0.251
Tm 0.821 0.750 0.751
Pu 0.000 0.250 0.750
Pu 0.000 0.750 0.250
Pu 0.500 0.250 0.750
Pu 0.500 0.750 0.250
As 0.146 0.750 0.749
As 0.354 0.250 0.249
As 0.646 0.750 0.751
As 0.854 0.250 0.251

Results
* calculated density: 11.74 g cm⁻³
* E_tot: -8.68 eV per atom
* Fermi-level density of states: 17.0 states/eV per cell
* calculated volume: 22.99 Å³/atom

---

Record 2
Compound: CaSm5Ag6
Source: Alexandria
Functional: PBE
Structure: optimized geometry

abc: 8.318 8.318 7.392
angles: 90.00 90.00 143.18
Fractional coordinates of all 12 atoms:
Ca 0.000 0.000 0.000
Sm 0.000 0.000 0.500
Sm 0.334 0.666 0.500
Sm 0.335 0.665 0.000
Sm 0.665 0.335 0.000
Sm 0.666 0.334 0.500
Ag 0.169 0.831 0.251
Ag 0.169 0.831 0.749
Ag 0.500 0.500 0.255
Ag 0.500 0.500 0.745
Ag 0.831 0.169 0.251
Ag 0.831 0.169 0.749

Results
* calculated density: 7.80 g cm⁻³
* E_tot: -3.85 eV per atom
* Fermi-level density of states: 7.7 states/eV per cell
* calculated volume: 25.54 Å³/atom

---

What is the calculated density in the second record?
7.80 g cm⁻³